# BaIrCl

An optimized crystal structure of BaIrCl (PBE, the Alexandria database).

Output
E: -4.024 eV per atom
DOS(E_F): 8.78 states/eV/cell
symmetry: F-43m
energy relative to the lowest polymorph listed for this composition: 1372 meV per atom
density: 6.5 Mg/m³

abc: 5.0789 5.0789 5.0789
angles: 60.00 60.00 60.00
Sites, in units of the cell vectors:
Ba 0.0000 0.0000 0.0000
Ir 0.5000 0.5000 0.5000
Cl 0.7500 0.7500 0.7500